DFT (PBE) results for a relaxed structure of NaMgScAl2.

## Properties
**Formation enthalpy at 0 K**: 0.88 eV/atom

```
5
Lattice="5.001 0.000 0.000 0.000 5.001 0.000 0.000 0.000 4.981" Properties=species:S:1:pos:R:3 pbc="T T T"
Na 0.000 0.000 0.000
Mg 2.500 2.500 2.490
Sc 0.000 0.000 2.490
Al 0.000 2.500 0.000
Al 2.500 0.000 0.000
```


DFT (PBE) results for a relaxed structure of NaMg2AlSe4.

## Properties
**Formation energy without anion corrections**: -1.14 eV/atom

```
8
Lattice="0.000 4.454 5.471 4.449 0.000 5.471 4.449 4.454 0.000" Properties=species:S:1:pos:R:3 pbc="T T T"
Na 0.000 0.000 0.000
Mg 2.225 2.227 2.730
Mg 6.674 6.682 8.201
Al 4.449 4.454 5.465
Se 6.418 4.454 4.075
Se 4.449 2.486 6.855
Se 2.481 4.454 4.075
Se 4.449 6.422 6.855
```


DFT (PBE) results for a relaxed structure of Na2MgAlSe4.

## Properties
**Formation energy without anion corrections**: -0.93 eV/atom

```
8
Lattice="-3.717 3.717 3.410 3.717 -3.717 3.410 3.717 3.717 -3.410" Properties=species:S:1:pos:R:3 pbc="T T T"
Na 3.717 0.000 0.000
Na 0.000 3.717 0.000
Mg 0.000 0.000 0.000
Al 0.000 0.000 3.410
Se 1.316 -1.316 1.854
Se -1.316 1.316 1.854
Se 2.401 2.401 1.556
Se 1.316 1.316 4.966
```


DFT (PBE) results for a relaxed structure of NaMgAl2Se4.

## Properties
**Formation energy without anion corrections**: -0.86 eV/atom

```
8
Lattice="0.000 4.517 5.887 4.038 0.000 5.887 4.038 4.517 0.000" Properties=species:S:1:pos:R:3 pbc="T T T"
Na 0.000 0.000 0.000
Mg 4.038 4.517 6.063
Al 2.019 2.259 2.969
Al 6.057 6.776 8.855
Se 4.038 2.429 4.457
Se 5.986 4.517 7.767
Se 4.038 6.606 4.457
Se 2.090 4.517 7.767
```